1.
A plane-wave DFT calculation with GGA-PBE was carried out for a geometry-optimized Pm5Ge2Br2 structure.

Values from the calculation:
- VASP energy (eV/cell) = -88.86

abc: 8.6142 8.6142 7.9524
angles: 90.00 90.00 55.10
Closest atoms and distances in Å follow each position.
Fractional positions:
Pm: 0.0000 0.0000 0.0000  2 Br 3.03, 4 Ge 3.08
Pm: 0.0337 0.7091 0.6592  3 Ge 2.98-3.11, 3 Br 3.16-3.21
Pm: 0.2091 0.5337 0.1592  3 Ge 2.98-3.11, 3 Br 3.16-3.21
Pm: 0.2909 0.9663 0.6592  3 Ge 2.98-3.11, 3 Br 3.16-3.21
Pm: 0.4663 0.7909 0.1592  3 Ge 2.98-3.11, 3 Br 3.16-3.21
Pm: 0.5000 0.5000 0.5000  2 Br 3.03, 4 Ge 3.08
Pm: 0.5337 0.2091 0.8408  3 Ge 2.98-3.11, 3 Br 3.16-3.21
Pm: 0.7091 0.0337 0.3408  3 Ge 2.98-3.11, 3 Br 3.16-3.21
Pm: 0.7909 0.4663 0.8408  3 Ge 2.98-3.11, 3 Br 3.16-3.21
Pm: 0.9663 0.2909 0.3408  3 Ge 2.98-3.11, 3 Br 3.16-3.21
Ge: 0.1400 0.8600 0.3607  8 Pm 2.98-3.11, 1 Ge 3.14
Ge: 0.3600 0.6400 0.8607  8 Pm 2.98-3.11, 1 Ge 3.14
Ge: 0.6400 0.3600 0.1393  8 Pm 2.98-3.11, 1 Ge 3.14
Ge: 0.8600 0.1400 0.6393  8 Pm 2.98-3.11, 1 Ge 3.14
Br: 0.1981 0.1981 0.0000  7 Pm 3.03-3.21
Br: 0.3019 0.3019 0.5000  7 Pm 3.03-3.21
Br: 0.6981 0.6981 0.5000  7 Pm 3.03-3.21
Br: 0.8019 0.8019 0.0000  7 Pm 3.03-3.21

***

2.
A plane-wave DFT calculation with GGA-PBE was carried out for a geometry-optimized Pm4Ge3Br structure.

Values from the calculation:
- VASP energy (eV/cell) = -42.24

abc: 6.0129 6.0129 6.0129
angles: 90.00 90.00 90.00
Closest atoms and distances in Å follow each position.
Fractional positions:
Pm: 0.0000 0.0000 0.0000  6 Ge 3.01
Pm: 0.0000 0.5000 0.5000  4 Ge 3.01, 2 Br 3.01
Pm: 0.5000 0.0000 0.5000  4 Ge 3.01, 2 Br 3.01
Pm: 0.5000 0.5000 0.0000  4 Ge 3.01, 2 Br 3.01
Ge: 0.0000 0.0000 0.5000  6 Pm 3.01
Ge: 0.0000 0.5000 0.0000  6 Pm 3.01
Ge: 0.5000 0.0000 0.0000  6 Pm 3.01
Br: 0.5000 0.5000 0.5000  6 Pm 3.01

***

3.
A plane-wave DFT calculation with GGA-PBE was carried out for a geometry-optimized Pm7Ge2Br2 structure.

Values from the calculation:
- VASP energy (eV/cell) = -51.24

abc: 7.6948 7.6948 7.0901
angles: 100.01 100.01 113.14
Closest atoms and distances in Å follow each position.
Fractional positions:
Pm: 0.0000 0.0000 0.0000  2 Br 2.94, 2 Pm 3.29
Pm: 0.0767 0.5233 0.7777  1 Br 2.95, 2 Ge 2.98-3.04
Pm: 0.4075 0.4075 0.1997  2 Ge 3.03, 2 Br 3.10-3.11, 1 Pm 3.29
Pm: 0.4767 0.9233 0.2223  1 Br 2.95, 2 Ge 2.98-3.04
Pm: 0.5233 0.0767 0.7777  1 Br 2.95, 2 Ge 2.98-3.04
Pm: 0.5925 0.5925 0.8003  2 Ge 3.03, 2 Br 3.10-3.11, 1 Pm 3.29
Pm: 0.9233 0.4767 0.2223  1 Br 2.95, 2 Ge 2.98-3.04
Ge: 0.3244 0.6756 0.5000  6 Pm 2.98-3.04
Ge: 0.6756 0.3244 0.5000  6 Pm 2.98-3.04
Br: 0.2156 0.2156 0.7458  5 Pm 2.94-3.11
Br: 0.7844 0.7844 0.2542  5 Pm 2.94-3.11

***

4.
A plane-wave DFT calculation with GGA-PBE was carried out for a geometry-optimized Pm3Ge2Br2 structure.

Values from the calculation:
- VASP energy (eV/cell) = -34.98

abc: 4.1353 6.7662 8.0141
angles: 69.57 75.05 89.99
Closest atoms and distances in Å follow each position.
Fractional positions:
Pm: 0.0000 0.0000 0.0000  4 Ge 2.95-2.96, 2 Br 3.08
Pm: 0.1284 0.5950 0.7425  4 Ge 3.04-3.08, 3 Br 3.11-3.18
Pm: 0.8716 0.4050 0.2575  4 Ge 3.04-3.08, 3 Br 3.11-3.18
Ge: 0.4956 0.3071 0.0110  1 Ge 2.55
Ge: 0.5044 0.6929 0.9890  1 Ge 2.55
Br: 0.2123 0.2285 0.5761  4 Pm 3.08-3.18
Br: 0.7877 0.7715 0.4239  4 Pm 3.08-3.18

***

Number 1: formation energy from raw total energies -0.900 eV/atom. Number 2: formation energy from raw total energies -0.964 eV/atom. Number 3: formation energy from raw total energies -0.492 eV/atom. Number 4: formation energy from raw total energies -1.165 eV/atom.